Entry 1:
Material: TaCr2As
Method: DFT, PBE-GGA
State: optimized geometry

Values from the calculation:
ΔE_f (meV per atom): 187
Density of states at the Fermi level (states/eV per cell): 4.2
ρ (g/cm³): 10.26
Calculated total energy (eV/atom): -8.7506

Cell: 2.8254 2.8254 7.7952 Å, 90.00 90.00 110.63°
Last column: magnetic moment on the atom in μB.
Fractional positions:
Cr: 0.0000 0.0000 0.9847  0.30
Ta: 0.5000 0.5000 0.2500  -0.07
Cr: 0.0000 0.0000 0.5153  0.30
As: 0.5000 0.5000 0.7500  -0.01

=====

Entry 2:
Material: SbRuPb2
Method: DFT, PBE-GGA
State: optimized geometry

Values from the calculation:
Uncorrected formation energy (eV/atom): 0.614
Density of states at the Fermi level (states/eV per cell): 4.3
ρ (g/cm³): 10.83
Calculated total energy (eV/atom): -4.5895

Cell: 6.1877 6.1877 3.5448 Å, 75.01 75.01 121.80°
Fractional positions:
Sb: 0.0000 0.5000 0.5000
Pb: 0.0000 0.0000 0.0000
Ru: 0.5000 0.0000 0.5000
Pb: 0.5000 0.5000 0.0000

=====

Entry 3:
Material: CaPaZnAs3
Method: DFT, PBE-GGA
State: optimized geometry

Values from the calculation:
ΔE_f (meV per atom): -814
ρ (g/cm³): 6.21
Calculated total energy (eV/atom): -5.2672

Cell: 4.1113 8.2977 8.9893 Å, 101.98 90.00 90.00°
Fractional positions:
As: 0.7500 0.2387 0.5106
Pa: 0.7500 0.3184 0.8377
As: 0.2500 0.5550 0.8373
As: 0.2500 0.0894 0.8636
Ca: 0.2500 0.1944 0.2311
As: 0.7500 0.9106 0.1364
As: 0.7500 0.4450 0.1627
Zn: 0.2500 0.0893 0.5833
As: 0.2500 0.7613 0.4894
Pa: 0.2500 0.6816 0.1623
Ca: 0.7500 0.8056 0.7689
Zn: 0.7500 0.9107 0.4167

=====

Entry 4:
Material: BPt2Cl
Method: DFT, PBE-GGA
State: optimized geometry

Values from the calculation:
Uncorrected formation energy (eV/atom): 0.197
Density of states at the Fermi level (states/eV per cell): 1.0
ρ (g/cm³): 10.05
Energy above the lowest structure with this stoichiometry (eV per atom): 0.0000
Calculated total energy (eV/atom): -4.9546

Cell: 5.1829 5.1829 6.5011 Å, 66.51 66.51 90.00°
Fractional positions:
B: 0.2500 0.7500 0.5000
Pt: 0.3750 0.4661 0.7500
Pt: 0.5339 0.1250 0.2500
Cl: 0.7500 0.2500 0.5000
Cl: 0.0000 0.0000 0.0000
Pt: 0.2161 0.6250 0.2500
B: 0.5000 0.5000 0.0000
Pt: 0.8750 0.7839 0.7500

=====

Entry 5:
Material: ThSi6Ru12
Method: DFT, PBE-GGA
State: optimized geometry

Values from the calculation:
Uncorrected formation energy (eV/atom): -0.408
Density of states at the Fermi level (states/eV per cell): 12.7
ρ (g/cm³): 9.27
Calculated total energy (eV/atom): -8.3696

Cell: 6.8723 6.8723 6.8723 Å, 104.09 104.09 104.09°
Fractional positions:
Si: 0.2366 0.2366 0.6872
Ru: 0.8679 0.5000 0.1321
Ru: 0.8679 0.1321 0.5000
Ru: 0.1321 0.5000 0.8679
Ru: 0.5510 0.8189 0.5510
Th: 0.0000 0.0000 0.0000
Ru: 0.1811 0.4490 0.4490
Ru: 0.5000 0.1321 0.8679
Ru: 0.4490 0.1811 0.4490
Si: 0.7634 0.3128 0.7634
Si: 0.2366 0.6872 0.2366
Si: 0.7634 0.7634 0.3128
Si: 0.6872 0.2366 0.2366
Ru: 0.5000 0.8679 0.1321
Si: 0.3128 0.7634 0.7634
Ru: 0.4490 0.4490 0.1811
Ru: 0.5510 0.5510 0.8189
Ru: 0.1321 0.8679 0.5000
Ru: 0.8189 0.5510 0.5510

=====

Entry 6:
Material: Ba3HoSn8
Method: DFT, PBE-GGA
State: optimized geometry

Values from the calculation:
ΔE_f (meV per atom): -221
Density of states at the Fermi level (states/eV per cell): 6.4
ρ (g/cm³): 5.33
Calculated total energy (eV/atom): -3.7520

Cell: 8.5260 8.5260 8.5260 Å, 106.14 111.16 111.16°
Fractional positions:
Ba: 0.0000 0.5000 0.5000
Sn: 0.4356 0.1362 0.1362
Ho: 0.0000 0.0000 0.0000
Sn: 0.0000 0.8638 0.2994
Sn: 0.6930 0.0585 0.0585
Ba: 0.5000 0.2500 0.7500
Sn: 0.0000 0.6345 0.9415
Sn: 0.0000 0.9415 0.6345
Ba: 0.5000 0.7500 0.2500
Sn: 0.3070 0.3655 0.3655
Sn: 0.0000 0.2994 0.8638
Sn: 0.5644 0.7006 0.7006

=====

Entry 7:
Material: LiSm2Ni
Method: DFT, PBE-GGA
State: optimized geometry

Values from the calculation:
ΔE_f (meV per atom): -103
Density of states at the Fermi level (states/eV per cell): 3.8
ρ (g/cm³): 6.28
Calculated total energy (eV/atom): -4.3860

Cell: 3.5039 3.5039 7.8877 Å, 90.00 90.00 90.00°
Fractional positions:
Sm: 0.0000 0.0000 0.2061
Li: 0.5000 0.5000 0.5000
Ni: 0.5000 0.5000 0.0000
Sm: 0.0000 0.0000 0.7939

=====

Entry 8:
Material: PuMg2Cd2Sn2
Method: DFT, PBE-GGA
State: optimized geometry

Values from the calculation:
ΔE_f (meV per atom): -124
Density of states at the Fermi level (states/eV per cell): 15.3
ρ (g/cm³): 7.38
Calculated total energy (eV/atom): -4.0323

Cell: 4.9229 4.9229 8.5798 Å, 73.33 73.33 60.00°
Last column: magnetic moment on the atom in μB.
Fractional positions:
Sn: 0.2673 0.2673 0.1982  -0.01
Sn: 0.7327 0.7327 0.8018  -0.01
Cd: 0.5625 0.5625 0.3126  0.00
Mg: 0.8605 0.8605 0.4185  0.01
Pu: 0.0000 0.0000 0.0000  5.53
Cd: 0.4375 0.4375 0.6874  0.00
Mg: 0.1395 0.1395 0.5815  0.01

=====

Entry 9:
Material: SmGdI
Method: DFT, PBE-GGA
State: optimized geometry

Values from the calculation:
Uncorrected formation energy (eV/atom): -0.459
Density of states at the Fermi level (states/eV per cell): 3.9
ρ (g/cm³): 7.36
Energy above the lowest structure with this stoichiometry (eV per atom): 0.0908
Calculated total energy (eV/atom): -7.2420

Cell: 3.7186 3.7186 7.5577 Å, 104.24 104.24 90.00°
Last column: magnetic moment on the atom in μB.
Fractional positions:
Gd: 0.9962 0.9962 0.9925  7.17
I: 0.3338 0.3338 0.6675  0.00
Sm: 0.6700 0.6700 0.3400  -0.01

=====

Entry 10:
Material: DyHo2ScTe6
Method: DFT, PBE-GGA
State: optimized geometry

Values from the calculation:
Uncorrected formation energy (eV/atom): -1.308
ρ (g/cm³): 6.28
Calculated total energy (eV/atom): -5.2021

Cell: 7.5768 7.5768 8.1903 Å, 62.45 62.45 60.01°
Fractional positions:
Te: 0.1019 0.4186 0.7588
Te: 0.9320 0.5878 0.2492
Ho: 0.5102 0.5102 0.4693
Dy: 0.8246 0.8245 0.5264
Te: 0.7205 0.1019 0.7588
Te: 0.2309 0.9321 0.2493
Te: 0.4187 0.7206 0.7588
Ho: 0.0086 0.0086 0.9741
Te: 0.5878 0.2309 0.2492
Sc: 0.3263 0.3263 0.0212

=====

Entry 11:
Material: YTlMo2
Method: DFT, PBE-GGA
State: optimized geometry

Values from the calculation:
ΔE_f (meV per atom): 402
Density of states at the Fermi level (states/eV per cell): 1.6
ρ (g/cm³): 10.08
Energy above the lowest structure with this stoichiometry (eV per atom): 0.2530
Calculated total energy (eV/atom): -7.2214

Cell: 4.8351 4.8351 4.8351 Å, 120.02 120.02 89.96°
Fractional positions:
Tl: 0.5000 0.5000 0.0000
Mo: 0.2500 0.7500 0.5000
Y: 0.7500 0.2500 0.5000
Mo: 0.0000 0.0000 0.0000

=====

Entry 12:
Material: YZn2Pb2
Method: DFT, PBE-GGA
State: optimized geometry

Values from the calculation:
ΔE_f (meV per atom): -31
Density of states at the Fermi level (states/eV per cell): 1.4
ρ (g/cm³): 8.45
Energy above the lowest structure with this stoichiometry (eV per atom): 0.0978
Calculated total energy (eV/atom): -3.3167

Cell: 4.1307 4.1307 7.8681 Å, 74.78 74.78 90.00°
Fractional positions:
Pb: 0.6119 0.6119 0.7763
Pb: 0.3881 0.3881 0.2237
Zn: 0.2500 0.7500 0.5000
Y: 0.0000 0.0000 0.0000
Zn: 0.7500 0.2500 0.5000

=====

Entry 13:
Material: Pm3PbI7
Method: DFT, PBE-GGA
State: optimized geometry

Values from the calculation:
Uncorrected formation energy (eV/atom): -1.080
Density of states at the Fermi level (states/eV per cell): 2.5
ρ (g/cm³): 4.96
Calculated total energy (eV/atom): -3.6987

Cell: 7.5651 8.8449 8.8449 Å, 120.00 90.00 90.00°
Last column: magnetic moment on the atom in μB.
Fractional positions:
Pb: 0.4794 0.3333 0.6667  0.47
Pm: 0.7837 0.4925 0.9850  0.11
I: 0.0307 0.6645 0.8322  0.01
I: 0.0307 0.1678 0.3355  0.01
Pm: 0.7837 0.4925 0.5075  0.11
I: 0.0314 0.6667 0.3333  0.02
Pm: 0.7837 0.0150 0.5075  0.11
I: 0.5537 0.8318 0.1682  0.02
I: 0.5537 0.8318 0.6635  0.02
I: 0.5537 0.3365 0.1682  0.02
I: 0.0307 0.1678 0.8322  0.01

=====

Number 1: volume 14.56 A^3/atom. Number 2: volume 24.42 A^3/atom. Number 3: volume 25.00 A^3/atom. Number 4: volume 18.03 A^3/atom. Number 5: volume 15.22 A^3/atom. Number 6: volume 39.66 A^3/atom. Number 7: volume 24.21 A^3/atom. Number 8: volume 24.27 A^3/atom. Number 9: volume 32.66 A^3/atom. Number 10: volume 34.43 A^3/atom. Number 11: volume 19.98 A^3/atom. Number 12: volume 24.93 A^3/atom. Number 13: volume 46.59 A^3/atom.